A relaxed LiReSb2I crystal, computed with PBE-GGA.

Cell: 4.9866 4.9866 5.1703 Å, 90.00 90.00 90.00°
Each line ends with the local moment (μB).
Element x y z (fractional)
Sb (0.0000, 0.5000, 0.0000)  -0.11
Sb (0.5000, 0.0000, 0.0000)  -0.11
Re (0.5000, 0.5000, 0.5000)  3.29
I (0.0000, 0.0000, 0.5000)  -0.01
Li (0.0000, 0.0000, 0.0000)  0.02

Values from the calculation:
Crystal system: tetragonal
E_form (uncorrected), eV/f.u.: 6.38

=====

A relaxed NaMgCdAg crystal, computed with PBE-GGA.

Cell: 3.2761 3.2761 8.2241 Å, 90.00 90.00 90.00°
Element x y z (fractional)
Cd (0.5000, 0.5000, 0.7984)
Na (0.0000, 0.0000, 0.0867)
Ag (0.5000, 0.5000, 0.3508)
Mg (0.0000, 0.0000, 0.5488)

Values from the calculation:
Crystal system: tetragonal
ΔE_f, eV per atom: -0.0903

=====

A relaxed HgH2Rh crystal, computed with PBE-GGA.

Cell: 3.0872 3.0872 5.6202 Å, 74.06 74.06 60.00°
Element x y z (fractional)
Rh (0.6742, 0.6742, 0.9774)
H (0.0260, 0.0260, 0.9221)
H (0.3032, 0.3032, 0.0903)
Hg (0.4966, 0.4966, 0.5102)

Values from the calculation:
Crystal system: trigonal
Energy, eV for the cell shown: -14.1

=====

A relaxed As8Os crystal, computed with PBE-GGA.

Cell: 6.4085 6.4085 6.4085 Å, 98.13 98.13 135.81°
Element x y z (fractional)
As (0.6924, 0.0000, 0.6924)
As (0.3423, 0.6577, 0.0000)
As (0.3076, 0.0000, 0.3076)
As (0.0000, 0.3076, 0.3076)
As (0.6577, 0.6577, 0.3153)
As (0.0000, 0.6924, 0.6924)
As (0.3423, 0.3423, 0.6847)
As (0.6577, 0.3423, 0.0000)
Os (0.0000, 0.0000, 0.0000)

Values from the calculation:
Crystal system: tetragonal
ΔE_f, eV per atom: 0.5163

=====

A relaxed ReMo3W crystal, computed with PBE-GGA.

Cell: 4.8117 5.1498 13.0626 Å, 90.00 90.00 90.00°
Element x y z (fractional)
Re (0.6580, 0.5000, 0.2500)
Re (0.1580, 0.0000, 0.7500)
Re (0.3420, 0.5000, 0.7500)
Re (0.8420, 0.0000, 0.2500)
Mo (0.7500, 0.2500, 0.0568)
Mo (0.2984, 0.0001, 0.3562)
Mo (0.2984, 0.9999, 0.1438)
Mo (0.7016, 0.0001, 0.8562)
Mo (0.2016, 0.5001, 0.1438)
Mo (0.7500, 0.7500, 0.4432)
Mo (0.7984, 0.4999, 0.8562)
Mo (0.2016, 0.4999, 0.3562)
Mo (0.7984, 0.5001, 0.6438)
Mo (0.2500, 0.7500, 0.9432)
Mo (0.7016, 0.9999, 0.6438)
Mo (0.2500, 0.2500, 0.5568)
W (0.2500, 0.7500, 0.5579)
W (0.7500, 0.2500, 0.4421)
W (0.7500, 0.7500, 0.0579)
W (0.2500, 0.2500, 0.9421)

Values from the calculation:
Crystal system: orthorhombic
ΔE_f, eV per atom: 0.3509

=====

A relaxed K2CdPd3 crystal, computed with PBE-GGA.

Cell: 5.8018 5.8018 5.6677 Å, 89.92 120.91 119.97°
Element x y z (fractional)
Pd (0.5000, 0.0000, 0.5000)
Pd (0.5000, 0.5000, 0.5000)
Pd (0.0000, 0.0000, 0.5000)
Cd (0.0000, 0.0000, 0.0000)
K (0.7573, 0.3787, 0.1360)
K (0.2427, 0.6213, 0.8640)

Values from the calculation:
Crystal system: monoclinic
ΔE_f, eV per atom: -0.1647

=====

A relaxed SmHo2Al6 crystal, computed with PBE-GGA.

Cell: 4.3926 7.9393 7.9393 Å, 53.62 73.94 73.94°
Element x y z (fractional)
Al (0.8142, 0.4909, 0.8807)
Al (0.0000, 0.8150, 0.1850)
Al (0.1858, 0.5091, 0.1193)
Al (0.0000, 0.1850, 0.8150)
Al (0.1858, 0.1193, 0.5091)
Al (0.8142, 0.8807, 0.4909)
Ho (0.6238, 0.8762, 0.8762)
Ho (0.3762, 0.1238, 0.1238)
Sm (0.5000, 0.5000, 0.5000)

Values from the calculation:
Crystal system: orthorhombic
ΔE_f, eV per atom: -0.2558

=====

A relaxed Zn2P2F crystal, computed with PBE-GGA.

Cell: 3.4457 3.4457 6.9950 Å, 75.74 75.74 90.00°
Element x y z (fractional)
Zn (0.5915, 0.5915, 0.8170)
Zn (0.4085, 0.4085, 0.1830)
F (0.0000, 0.0000, 0.0000)
P (0.7500, 0.2500, 0.5000)
P (0.2500, 0.7500, 0.5000)

Values from the calculation:
Crystal system: tetragonal
E_form (uncorrected), eV/f.u.: -1.19

=====

A relaxed BiPd2Br6 crystal, computed with PBE-GGA.

Cell: 7.0672 9.7438 9.7438 Å, 95.83 81.52 81.52°
Element x y z (fractional)
Br (0.7886, 0.9556, 0.3633)
Br (0.8041, 0.3244, 0.3828)
Br (0.8483, 0.2135, 0.0111)
Br (0.1517, 0.7865, 0.9889)
Br (0.7114, 0.6367, 0.0444)
Br (0.3483, 0.0111, 0.2135)
Br (0.6517, 0.9889, 0.7865)
Br (0.6959, 0.6172, 0.6756)
Br (0.2886, 0.3633, 0.9556)
Br (0.3041, 0.3828, 0.3244)
Br (0.1959, 0.6756, 0.6172)
Br (0.2114, 0.0444, 0.6367)
Pd (0.0578, 0.3244, 0.1741)
Pd (0.9422, 0.6756, 0.8259)
Pd (0.5578, 0.1741, 0.3244)
Pd (0.4422, 0.8259, 0.6756)
Bi (0.2500, 0.0845, 0.9155)
Bi (0.7500, 0.9155, 0.0845)

Values from the calculation:
Crystal system: monoclinic
E_form (uncorrected), eV/f.u.: -3.29

=====

A relaxed Sb2TePdW crystal, computed with PBE-GGA.

Cell: 5.2416 5.2416 5.2069 Å, 90.00 90.00 90.00°
Element x y z (fractional)
Pd (0.5000, 0.5000, 0.5000)
Te (0.0000, 0.0000, 0.5000)
W (0.0000, 0.0000, 0.0000)
Sb (0.0000, 0.5000, 0.0000)
Sb (0.5000, 0.0000, 0.0000)

Values from the calculation:
Crystal system: tetragonal
E_form (uncorrected), eV/f.u.: 4.18

=====

A relaxed DyTm2Hf crystal, computed with PBE-GGA.

Cell: 3.9336 3.9336 7.3118 Å, 90.00 90.00 90.00°
Element x y z (fractional)
Tm (0.0000, 0.0000, 0.2215)
Tm (0.0000, 0.0000, 0.7785)
Hf (0.5000, 0.5000, 0.0000)
Dy (0.5000, 0.5000, 0.5000)

Values from the calculation:
Crystal system: tetragonal
ΔE_f, eV per atom: 0.2149

=====

A relaxed LiPuCu2 crystal, computed with PBE-GGA.

Cell: 2.8628 4.9834 4.9834 Å, 90.00 90.00 90.00°
Each line ends with the local moment (μB).
Element x y z (fractional)
Li (0.5000, 0.5000, 0.5000)  -0.01
Cu (0.0000, 0.0000, 0.5000)  0.05
Cu (0.0000, 0.5000, 0.0000)  0.05
Pu (0.5000, 0.0000, 0.0000)  5.49

Values from the calculation:
Crystal system: tetragonal
ΔE_f, eV per atom: 0.1132

=====

A relaxed CsMg2GaPd crystal, computed with PBE-GGA.

Cell: 5.2979 5.2979 4.9840 Å, 90.00 90.00 90.00°
Element x y z (fractional)
Pd (0.0000, 0.0000, 0.0000)
Mg (0.0000, 0.5000, 0.0000)
Mg (0.5000, 0.0000, 0.0000)
Cs (0.5000, 0.5000, 0.5000)
Ga (0.0000, 0.0000, 0.5000)

Values from the calculation:
Crystal system: tetragonal
ΔE_f, eV per atom: -0.1752

=====

A relaxed Tl3Pt5Br12 crystal, computed with PBE-GGA.

Cell: 14.7751 14.7751 14.7751 Å, 109.47 109.47 109.47°
Each line ends with the local moment (μB).
Element x y z (fractional)
Br (0.0958, 0.9207, 0.1084)  0.02
Br (0.3123, 0.8916, 0.9874)  0.02
Br (0.0126, 0.4042, 0.8250)  0.02
Br (0.6877, 0.5793, 0.1750)  0.02
Br (0.8250, 0.9042, 0.0126)  0.02
Br (0.6084, 0.0126, 0.1877)  0.02
Br (0.9874, 0.3916, 0.3123)  0.02
Br (0.4207, 0.1084, 0.5958)  0.02
Br (0.4874, 0.6750, 0.0958)  0.02
Br (0.0126, 0.6084, 0.6877)  0.02
Br (0.9207, 0.8250, 0.8123)  0.02
Br (0.3250, 0.8123, 0.4207)  0.02
Br (0.8250, 0.9207, 0.3123)  0.02
Br (0.1084, 0.4207, 0.0958)  0.02
Br (0.3916, 0.4042, 0.0793)  0.02
Br (0.1750, 0.0958, 0.9874)  0.02
Br (0.1084, 0.6877, 0.5126)  0.02
Br (0.9207, 0.0958, 0.6084)  0.02
Br (0.9042, 0.8250, 0.5126)  0.02
Br (0.0793, 0.9042, 0.3916)  0.02
Br (0.0793, 0.1750, 0.1877)  0.02
Br (0.5958, 0.9874, 0.6750)  0.02
Br (0.5793, 0.6877, 0.6750)  0.02
Br (0.6750, 0.4874, 0.5958)  0.02
Br (0.5958, 0.6084, 0.4207)  0.02
Br (0.5126, 0.3250, 0.9042)  0.02
Br (0.1750, 0.0793, 0.6877)  0.02
Br (0.6877, 0.1084, 0.0126)  0.02
Br (0.0958, 0.1750, 0.4874)  0.02
Br (0.3916, 0.9874, 0.8123)  0.02
Br (0.9874, 0.5958, 0.1750)  0.02
Br (0.4874, 0.8123, 0.8916)  0.02
Br (0.6084, 0.5958, 0.9207)  0.02
Br (0.8123, 0.4874, 0.3916)  0.02
Br (0.4207, 0.3123, 0.3250)  0.02
Br (0.5793, 0.8916, 0.4042)  0.02
Br (0.4042, 0.3916, 0.5793)  0.02
Br (0.8123, 0.3250, 0.9207)  0.02
Br (0.8916, 0.5793, 0.9042)  0.02
Br (0.5126, 0.1877, 0.1084)  0.02
Br (0.8916, 0.3123, 0.4874)  0.02
Br (0.4042, 0.0126, 0.3250)  0.02
Br (0.1877, 0.6750, 0.0793)  0.02
Br (0.9042, 0.0793, 0.8916)  0.02
Br (0.3123, 0.4207, 0.8250)  0.02
Br (0.1877, 0.5126, 0.6084)  0.02
Br (0.6750, 0.1877, 0.5793)  0.02
Br (0.3250, 0.5126, 0.4042)  0.02
Pt (0.5000, 0.5000, 0.5000)  -0.03
Pt (0.7500, 0.1250, 0.8750)  0.23
Pt (0.6250, 0.8750, 0.2500)  0.23
Pt (0.7500, 0.6250, 0.3750)  0.23
Pt (0.8750, 0.2500, 0.6250)  0.23
Pt (0.2500, 0.8750, 0.1250)  0.23
Pt (0.1250, 0.3750, 0.2500)  0.23
Pt (0.3750, 0.2500, 0.1250)  0.23
Pt (0.1250, 0.7500, 0.3750)  0.23
Pt (0.5000, 0.0000, 0.5000)  -0.03
Pt (0.0000, 0.0000, 0.5000)  -0.03
Pt (0.5000, 0.5000, 0.0000)  -0.03
Pt (0.5000, 0.0000, 0.0000)  -0.03
Pt (0.2500, 0.3750, 0.6250)  0.23
Pt (0.3750, 0.1250, 0.7500)  0.23
Pt (0.0000, 0.0000, 0.0000)  -0.03
Pt (0.6250, 0.7500, 0.8750)  0.23
Pt (0.8750, 0.6250, 0.7500)  0.23
Pt (0.0000, 0.5000, 0.5000)  -0.03
Pt (0.0000, 0.5000, 0.0000)  -0.03
Tl (0.6250, 0.3750, 0.7500)  0.00
Tl (0.1250, 0.8750, 0.7500)  0.00
Tl (0.8750, 0.1250, 0.2500)  0.00
Tl (0.7500, 0.8750, 0.6250)  0.00
Tl (0.2500, 0.6250, 0.8750)  0.00
Tl (0.6250, 0.2500, 0.3750)  0.00
Tl (0.7500, 0.3750, 0.1250)  0.00
Tl (0.1250, 0.2500, 0.8750)  0.00
Tl (0.2500, 0.1250, 0.3750)  0.00
Tl (0.3750, 0.7500, 0.6250)  0.00
Tl (0.8750, 0.7500, 0.1250)  0.00
Tl (0.3750, 0.6250, 0.2500)  0.00

Values from the calculation:
Crystal system: cubic
E_form (uncorrected), eV/f.u.: -3.29

=====

A relaxed Sm2Ti2InRh5 crystal, computed with PBE-GGA.

Cell: 3.6626 10.0773 10.0773 Å, 90.00 90.00 90.00°
Element x y z (fractional)
Rh (0.5000, 0.4367, 0.2867)
Rh (0.5000, 0.0000, 0.5000)
Rh (0.5000, 0.9367, 0.2133)
Rh (0.5000, 0.0633, 0.7867)
Rh (0.5000, 0.5000, 0.0000)
Rh (0.5000, 0.7867, 0.9367)
Rh (0.5000, 0.7133, 0.4367)
Rh (0.5000, 0.2133, 0.0633)
Rh (0.5000, 0.5633, 0.7133)
Rh (0.5000, 0.2867, 0.5633)
Sm (0.0000, 0.6826, 0.1826)
Sm (0.0000, 0.8174, 0.6826)
Sm (0.0000, 0.1826, 0.3174)
Sm (0.0000, 0.3174, 0.8174)
Ti (0.0000, 0.1167, 0.6167)
Ti (0.0000, 0.8833, 0.3833)
Ti (0.0000, 0.6167, 0.8833)
Ti (0.0000, 0.3833, 0.1167)
In (0.0000, 0.0000, 0.0000)
In (0.0000, 0.5000, 0.5000)

Values from the calculation:
Crystal system: tetragonal
ΔE_f, eV per atom: -0.5743

=====

A relaxed ZrMnCu2 crystal, computed with PBE-GGA.

Cell: 4.5941 4.5941 3.0499 Å, 90.04 90.04 109.27°
Each line ends with the local moment (μB).
Element x y z (fractional)
Cu (0.0000, 0.0000, 0.0000)  -0.01
Cu (0.5000, 0.5000, 0.0000)  -0.01
Zr (0.0000, 0.5000, 0.5000)  -0.39
Mn (0.5000, 0.0000, 0.5000)  3.00

Values from the calculation:
Crystal system: orthorhombic
ΔE_f, eV per atom: 0.1289

=====

A relaxed Tb3SbSe2 crystal, computed with PBE-GGA.

Cell: 5.9535 5.9542 9.4072 Å, 108.45 90.00 90.00°
Element x y z (fractional)
Se (0.0000, 0.0000, 0.0000)
Se (0.5000, 0.1657, 0.3313)
Se (0.5000, 0.8343, 0.6687)
Se (0.5000, 0.5000, 0.0000)
Tb (0.0000, 0.8384, 0.6768)
Tb (0.0000, 0.5000, 0.0000)
Tb (0.5000, 0.6659, 0.3318)
Tb (0.5000, 0.0000, 0.0000)
Tb (0.0000, 0.1616, 0.3232)
Tb (0.5000, 0.3341, 0.6682)
Sb (0.0000, 0.3316, 0.6632)
Sb (0.0000, 0.6684, 0.3368)

Values from the calculation:
Crystal system: orthorhombic
E_form (uncorrected), eV/f.u.: -9.36

=====

A relaxed Os2AuSe crystal, computed with PBE-GGA.

Cell: 5.3725 5.3725 5.0927 Å, 64.58 64.58 31.04°
Element x y z (fractional)
Os (0.0221, 0.0221, 0.8699)
Os (0.7437, 0.7437, 0.8150)
Se (0.4669, 0.4669, 0.5356)
Au (0.2674, 0.2674, 0.2795)

Values from the calculation:
Crystal system: monoclinic
E_form (uncorrected), eV/f.u.: 2.68

=====

A relaxed CdSiRhCl crystal, computed with PBE-GGA.

Cell: 3.1016 3.1016 8.0550 Å, 90.00 90.00 90.00°
Element x y z (fractional)
Rh (0.5000, 0.5000, 0.6254)
Cl (0.5000, 0.5000, 0.9526)
Si (0.0000, 0.0000, 0.4941)
Cd (0.0000, 0.0000, 0.1722)

Values from the calculation:
Crystal system: tetragonal
E_form (uncorrected), eV/f.u.: -1.29

=====

A relaxed Y2In5Hg crystal, computed with PBE-GGA.

Cell: 4.6690 6.5055 13.0325 Å, 90.00 90.00 90.00°
Element x y z (fractional)
In (0.0000, 0.4992, 0.2488)
In (0.0000, 0.5008, 0.7512)
In (0.0000, 0.9992, 0.2512)
In (0.5000, 0.7473, 0.1235)
In (0.5000, 0.2473, 0.3765)
In (0.5000, 0.7527, 0.6235)
In (0.5000, 0.2527, 0.8765)
In (0.0000, 0.0000, 0.0000)
In (0.0000, 0.5000, 0.5000)
In (0.0000, 0.0008, 0.7488)
Hg (0.0000, 0.5000, 0.0000)
Hg (0.0000, 0.0000, 0.5000)
Y (0.5000, 0.2483, 0.1260)
Y (0.5000, 0.7483, 0.3740)
Y (0.5000, 0.2517, 0.6260)
Y (0.5000, 0.7517, 0.8740)

Values from the calculation:
Crystal system: orthorhombic
ΔE_f, eV per atom: -0.4143

=====

A relaxed HfCrRu crystal, computed with PBE-GGA.

Cell: 3.1452 4.3961 6.8955 Å, 90.00 103.18 90.00°
Element x y z (fractional)
Cr (0.2460, 0.2500, 0.4919)
Cr (0.7540, 0.7500, 0.5081)
Ru (0.5894, 0.2500, 0.1787)
Ru (0.4106, 0.7500, 0.8213)
Hf (0.9110, 0.2500, 0.8221)
Hf (0.0890, 0.7500, 0.1779)

Values from the calculation:
Crystal system: orthorhombic
ΔE_f, eV per atom: -0.2200

=====

Number 1: DOS at the Fermi energy 3.1 states/eV/cell. Number 2: DOS at the Fermi energy 1.1 states/eV/cell. Number 3: DOS at the Fermi energy 0.7 states/eV/cell. Number 4: DOS at the Fermi energy 4.5 states/eV/cell. Number 5: DOS at the Fermi energy 19.4 states/eV/cell. Number 6: DOS at the Fermi energy 1.8 states/eV/cell. Number 7: DOS at the Fermi energy 5.0 states/eV/cell. Number 8: DOS at the Fermi energy 1.8 states/eV/cell. Number 9: DOS at the Fermi energy 7.9 states/eV/cell. Number 10: DOS at the Fermi energy 3.7 states/eV/cell. Number 11: DOS at the Fermi energy 8.3 states/eV/cell. Number 12: DOS at the Fermi energy 8.6 states/eV/cell. Number 13: DOS at the Fermi energy 2.3 states/eV/cell. Number 14: DOS at the Fermi energy 70.6 states/eV/cell. Number 15: DOS at the Fermi energy 8.2 states/eV/cell. Number 16: DOS at the Fermi energy 2.9 states/eV/cell. Number 17: DOS at the Fermi energy 4.9 states/eV/cell. Number 18: DOS at the Fermi energy 3.1 states/eV/cell. Number 19: DOS at the Fermi energy 1.2 states/eV/cell. Number 20: DOS at the Fermi energy 9.0 states/eV/cell. Number 21: DOS at the Fermi energy 4.9 states/eV/cell.